Th8TcRh3Se4 | GGA-PBE | optimized geometry

Unit cell a=8.2169 b=8.7675 c=8.2174 alpha=117.95 beta=120.00 gamma=90.00
Atoms (fractional coordinates):
Th 0.7443 0.7176 0.9810
Th 0.2367 0.7176 0.9810
Rh 0.5000 0.5000 0.5000
Th 0.7387 0.7160 0.4774
Se 0.0000 0.0000 0.0000
Th 0.7633 0.2824 0.5266
Th 0.2557 0.2824 0.0190
Th 0.2613 0.2840 0.5226
Th 0.7633 0.2824 0.0190
Tc 0.0000 0.5000 0.0000
Se 0.5000 0.0000 0.5000
Th 0.2367 0.7176 0.4734
Rh 0.5000 0.5000 0.0000
Se 0.5000 0.0000 0.0000
Se 0.0000 0.0000 0.5000
Rh 0.0000 0.5000 0.5000

Computed properties:
- Energy relative to the elements, uncorrected: -18.11 eV per formula unit
- E: -123.82 eV per formula unit
- DOS at the Fermi energy: 0.633 states/eV/atom